[1]
Entry from Alexandria: a geometry-optimized Na3MnH structure (PBE).

Lattice parameters (Å, degrees): 5.886 5.886 5.886 90.00 90.00 90.00
Space group Pm-3m (No. 221)
One atom of each set of equivalent atoms:
Na  0.000  0.000  0.500
Mn  0.000  0.000  0.000
H  0.500  0.500  0.500

Offset from the most stable computed form in meV per atom: 599
Total magnetic moment in μB per atom: 1.04
DFT total energy in eV per atom: -2.245

---

[2]
Entry from Alexandria: a geometry-optimized Na4MnH6 structure (PBE).

Lattice parameters (Å, degrees): 6.484 6.484 6.703 90.00 90.00 90.00
Space group P4/mnc (No. 128)
One atom of each set of equivalent atoms:
Na  0.191  0.309  0.250
Mn  0.000  0.000  0.000
H  0.000  0.000  0.252
H  0.059  0.744  0.000

Total magnetic moment in μB per atom: 0.09
DFT total energy in eV per atom: -3.258

---

[3]
Entry from Alexandria: a geometry-optimized NaMnH3 structure (PBE).

Lattice parameters (Å, degrees): 3.034 4.572 6.211 90.00 90.08 90.00
Space group P2_1/m (No. 11)
One atom of each set of equivalent atoms:
Na  0.248  0.250  0.375
Mn  0.250  0.750  0.074
H  0.250  0.028  0.878
H  0.251  0.750  0.359

Total magnetic moment in μB per atom: 0.59
DFT total energy in eV per atom: -4.180

---

[4]
Entry from Alexandria: a geometry-optimized NaMnH3 structure (PBE).

Lattice parameters (Å, degrees): 11.971 2.716 6.173 90.00 105.88 90.00
Space group C2/m (No. 12)
One atom of each set of equivalent atoms:
Na  0.110  0.000  0.340
Mn  0.161  0.500  0.851
H  0.079  0.000  0.720
H  0.184  0.000  0.042
H  0.197  0.500  0.617

Total magnetic moment in μB per atom: 0.52
DFT total energy in eV per atom: -4.083

---

[5]
Entry from Alexandria: a geometry-optimized NaMnH2 structure (PBE).

Lattice parameters (Å, degrees): 5.656 5.656 5.656 90.00 90.00 90.00
Space group Fm-3m (No. 225)
One atom of each set of equivalent atoms:
Na  0.000  0.000  0.000
Mn  0.000  0.000  0.500
H  0.250  0.250  0.250

Offset from the most stable computed form in meV per atom: 535
Total magnetic moment in μB per atom: 1.15
DFT total energy in eV per atom: -3.686

---

[6]
Entry from Alexandria: a geometry-optimized NaMnH3 structure (PBE).

Lattice parameters (Å, degrees): 7.405 10.106 4.933 90.00 90.00 90.00
Space group Cmce (No. 64)
One atom of each set of equivalent atoms:
Na  0.250  0.144  0.250
Mn  0.000  0.112  0.691
H  0.000  0.057  0.347
H  0.000  0.236  0.979
H  0.250  0.116  0.750

Total magnetic moment in μB per atom: 0.70
DFT total energy in eV per atom: -4.053

---

total magnetic moment of number 5 (NaMnH2)? 1.15 μB per atom

---

Number 2 is which compound? Na4MnH6

---

Among the records above, which one has the highest total magnetic moment? NaMnH2